# 1
An optimized crystal structure of LaDy2AgHg4. Source: Alexandria via LeMat-Bulk, functional PBE-GGA.

total energy = -21.22 eV per cell
size of the total moment = 0.00 μB/f.u.
crystal system = trigonal

Cell lengths 5.098, 5.098, 9.622 Å; angles 74.64, 74.64, 60.00 degrees
Fractional positions:
Dy1 0.763 0.763 0.712
Dy2 0.237 0.237 0.288
Hg1 0.616 0.616 0.152
Hg2 0.125 0.125 0.624
Hg3 0.384 0.384 0.848
Hg4 0.875 0.875 0.376
La1 0.000 0.000 0.000
Ag1 0.500 0.500 0.500

# 2
An optimized crystal structure of LaDy2Ag2Hg2. Source: Alexandria via LeMat-Bulk, functional PBE-GGA.

total energy = -22.27 eV per cell
size of the total moment = 0.00 μB/f.u.
crystal system = trigonal

Cell lengths 4.905, 4.905, 9.307 Å; angles 74.72, 74.72, 60.00 degrees
Fractional positions:
Hg1 0.253 0.253 0.240
Hg2 0.747 0.747 0.760
Ag1 0.592 0.592 0.225
Ag2 0.408 0.408 0.775
La1 0.000 0.000 0.000
Dy1 0.873 0.873 0.380
Dy2 0.127 0.127 0.620

# 3
An optimized crystal structure of LiDyAgHg. Source: Alexandria via LeMat-Bulk, functional PBE-GGA.

total energy = -10.93 eV per cell
size of the total moment = 0.00 μB/f.u.
crystal system = cubic

Cell lengths 4.965, 4.965, 4.965 Å; angles 60.00, 60.00, 60.00 degrees
Fractional positions:
Dy1 0.500 0.500 0.500
Li1 0.000 0.000 0.000
Ag1 0.250 0.250 0.250
Hg1 0.750 0.750 0.750

# 4
An optimized crystal structure of LiDy2AgHg4. Source: Alexandria via LeMat-Bulk, functional PBE-GGA.

total energy = -18.31 eV per cell
size of the total moment = 0.00 μB/f.u.
crystal system = trigonal

Cell lengths 5.015, 5.015, 8.679 Å; angles 73.21, 73.21, 60.00 degrees
Fractional positions:
Hg1 0.872 0.872 0.385
Hg2 0.379 0.379 0.864
Hg3 0.128 0.128 0.615
Hg4 0.621 0.621 0.136
Dy1 0.253 0.253 0.242
Dy2 0.747 0.747 0.758
Ag1 0.000 0.000 0.000
Li1 0.500 0.500 0.500

no.,ΔE_f (eV per atom)
1,-0.378
2,-0.262
3,-0.314
4,-0.392